Record 1
# TaMnTc, relaxed, DFT GGA-PBE
data_TaMnTc
_chemical_formula_sum 'Ta4 Mn4 Tc4'
_cell_length_a 6.009
_cell_length_b 6.009
_cell_length_c 6.009
_cell_angle_alpha 90.00
_cell_angle_beta 90.00
_cell_angle_gamma 90.00
_space_group_name_H-M_alt 'F -4 3 m'
_space_group_IT_number 216
_space_group_name_Hall 'F -4 2 3'
loop_
_atom_site_label
_atom_site_type_symbol
_atom_site_fract_x
_atom_site_fract_y
_atom_site_fract_z
_atom_site_occupancy
Ta1 Ta 0.000 0.000 0.000 1
Mn1 Mn 0.250 0.250 0.250 1
Tc1 Tc 0.250 0.250 0.750 1
# DOS(E_F) in states/eV per cell: 11.4
# Distance to the lowest polymorph of the same formula in meV per atom: 738.7
# ΔH_f (0 K) in kcal/mol of atoms: 17.08



Record 2
# Sr2Se, relaxed, DFT GGA-PBE
data_Sr2Se
_chemical_formula_sum 'Sr8 Se4'
_cell_length_a 15.452
_cell_length_b 4.091
_cell_length_c 7.692
_cell_angle_alpha 90.00
_cell_angle_beta 110.70
_cell_angle_gamma 90.00
_space_group_name_H-M_alt 'C 1 2/m 1'
_space_group_IT_number 12
loop_
_space_group_symop_operation_xyz
'x,y,z'
'-x,-y,-z'
'-x,y,-z'
'x,-y,z'
'x+1/2,y+1/2,z'
'-x+1/2,-y+1/2,-z'
'-x+1/2,y+1/2,-z'
'x+1/2,-y+1/2,z'
loop_
_atom_site_label
_atom_site_type_symbol
_atom_site_fract_x
_atom_site_fract_y
_atom_site_fract_z
_atom_site_occupancy
Sr1 Sr 0.017 0.000 0.248 1
Sr2 Sr 0.222 0.500 0.733 1
Se1 Se 0.126 0.500 0.034 1
# DOS(E_F) in states/eV per cell: 6.6
# ΔE_f (raw) in eV per formula unit: -3.6



Record 3
# CaPmPAu, relaxed, DFT GGA-PBE
data_CaPmPAu
_chemical_formula_sum 'Ca4 Pm4 P4 Au4'
_cell_length_a 7.208
_cell_length_b 7.208
_cell_length_c 7.208
_cell_angle_alpha 90.00
_cell_angle_beta 90.00
_cell_angle_gamma 90.00
_space_group_name_H-M_alt 'F -4 3 m'
_space_group_IT_number 216
_space_group_name_Hall 'F -4 2 3'
loop_
_atom_site_label
_atom_site_type_symbol
_atom_site_fract_x
_atom_site_fract_y
_atom_site_fract_z
_atom_site_occupancy
Ca1 Ca 0.000 0.000 0.000 1
Pm1 Pm 0.000 0.000 0.500 1
P1 P 0.250 0.250 0.250 1
Au1 Au 0.250 0.250 0.750 1
# DOS(E_F) in states/eV per cell: 11.2
# ΔH_f (0 K) in kcal/mol of atoms: -19.64



Record 4
# Th3CoAu2, relaxed, DFT GGA-PBE
data_Th3CoAu2
_chemical_formula_sum 'Th12 Co4 Au8'
_cell_length_a 12.373
_cell_length_b 3.960
_cell_length_c 12.354
_cell_angle_alpha 90.00
_cell_angle_beta 90.00
_cell_angle_gamma 90.00
_space_group_name_H-M_alt 'P n m a'
_space_group_IT_number 62
loop_
_space_group_symop_operation_xyz
'x,y,z'
'-x,-y,-z'
'-x+1/2,-y,z+1/2'
'x+1/2,y,-z+1/2'
'x+1/2,-y+1/2,-z+1/2'
'-x+1/2,y+1/2,z+1/2'
'-x,y+1/2,-z'
'x,-y+1/2,z'
loop_
_atom_site_label
_atom_site_type_symbol
_atom_site_fract_x
_atom_site_fract_y
_atom_site_fract_z
_atom_site_occupancy
Th1 Th 0.043 0.250 0.133 1
Th2 Th 0.127 0.750 0.547 1
Th3 Th 0.239 0.250 0.791 1
Co1 Co 0.139 0.250 0.381 1
Au1 Au 0.000 0.250 0.687 1
Au2 Au 0.175 0.750 0.997 1
# DOS(E_F) in states/eV per cell: 21.4
# Distance to the lowest polymorph of the same formula in meV per atom: 0.0
# ΔH_f (0 K) in kcal/mol of atoms: -10.83



Record 5
# Al7Zn5, relaxed, DFT GGA-PBE
data_Al7Zn5
_chemical_formula_sum 'Al14 Zn10'
_cell_length_a 13.814
_cell_length_b 2.806
_cell_length_c 10.735
_cell_angle_alpha 90.00
_cell_angle_beta 99.51
_cell_angle_gamma 90.00
_space_group_name_H-M_alt 'C 1 2/m 1'
_space_group_IT_number 12
loop_
_space_group_symop_operation_xyz
'x,y,z'
'-x,-y,-z'
'-x,y,-z'
'x,-y,z'
'x+1/2,y+1/2,z'
'-x+1/2,-y+1/2,-z'
'-x+1/2,y+1/2,-z'
'x+1/2,-y+1/2,z'
loop_
_atom_site_label
_atom_site_type_symbol
_atom_site_fract_x
_atom_site_fract_y
_atom_site_fract_z
_atom_site_occupancy
Al1 Al 0.000 0.000 0.000 1
Al2 Al 0.068 0.500 0.266 1
Al3 Al 0.160 0.000 0.507 1
Al4 Al 0.191 0.500 0.075 1
Zn1 Zn 0.000 0.500 0.500 1
Zn2 Zn 0.116 0.500 0.828 1
Zn3 Zn 0.240 0.000 0.296 1
# DOS(E_F) in states/eV per cell: 8.2
# Distance to the lowest polymorph of the same formula in meV per atom: 85.6
# ΔH_f (0 K) in kcal/mol of atoms: 2.48



Record 6
# AcTi2Ir2, relaxed, DFT GGA-PBE
data_AcTi2Ir2
_chemical_formula_sum 'Ac2 Ti4 Ir4'
_cell_length_a 4.351
_cell_length_b 4.351
_cell_length_c 11.046
_cell_angle_alpha 90.00
_cell_angle_beta 90.00
_cell_angle_gamma 90.00
_space_group_name_H-M_alt 'I 4/m m m'
_space_group_IT_number 139
_space_group_name_Hall '-I 4 2'
loop_
_atom_site_label
_atom_site_type_symbol
_atom_site_fract_x
_atom_site_fract_y
_atom_site_fract_z
_atom_site_occupancy
Ac1 Ac 0.000 0.000 0.000 1
Ti1 Ti 0.000 0.500 0.250 1
Ir1 Ir 0.000 0.000 0.374 1
# DOS(E_F) in states/eV per cell: 9.6
# ΔH_f (0 K) in kcal/mol of atoms: -17.73



- Look up the DOS(E_F) of the fifth one.
  8.2 states/eV per cell